# SrNiOsO6

A relaxed SrNiOsO6 crystal (PBE+U, Alexandria).

Lattice parameters (Å, degrees): 5.260 5.260 5.289 90.00 90.00 120.00
Element x y z (fractional)
Sr 0.000 0.000 0.000
Ni 0.333 0.667 0.500
Os 0.667 0.333 0.500
O 0.392 0.024 0.702
O 0.392 0.367 0.298
O 0.633 0.024 0.298
O 0.633 0.608 0.702
O 0.976 0.367 0.702
O 0.976 0.608 0.298

Summary:
Calculated density: 5.7 g cm⁻³
Electronic total energy: -6.466 eV per atom
Size of the total moment: 2.000 μB/cell
Space group: P312, No. 149